# InFePbO4 | Alexandria via LeMat-Bulk | PBE+U | relaxed
data_InFePbO4
_chemical_formula_sum 'In2 Fe2 Pb2 O8'
_cell_length_a 5.8428
_cell_length_b 5.8915
_cell_length_c 6.7896
_cell_angle_alpha 90.00
_cell_angle_beta 104.33
_cell_angle_gamma 90.00
_symmetry_space_group_name_H-M 'P 1 21/m 1'
_symmetry_Int_Tables_number 11
_symmetry_space_group_name_Hall '-P 2yb'
loop_
_atom_site_label
_atom_site_type_symbol
_atom_site_fract_x
_atom_site_fract_y
_atom_site_fract_z
In1 In 0.1735 0.2500 0.0515
Fe1 Fe 0.2997 0.7500 0.8465
Pb1 Pb 0.2595 0.2500 0.5814
O1 O 0.0613 0.5151 0.8143
O2 O 0.4805 0.2500 0.3177
O3 O 0.4865 0.2500 0.9001
# DFT total energy, eV/atom: -5.78
# V, Å³/atom: 16.174